1.
DFT (PBE) results for an optimized crystal structure of Tc3C.

Calculated values
Crystal system: hexagonal
E above lowest polymorph (meV per atom): 0
ΔE_f (kJ/mol of atoms): 1

Unit cell a=2.831 b=2.831 c=7.106 alpha=90.00 beta=90.00 gamma=120.00
Element x y z (fractional)
C1 0.000 0.000 0.000
Tc1 0.667 0.333 0.195
Tc2 0.000 0.000 0.500
Tc3 0.667 0.333 0.805

=====

2.
DFT (PBE) results for an optimized crystal structure of Tc3C.

Calculated values
Crystal system: tetragonal
E above lowest polymorph (meV per atom): 1109
ΔE_f (kJ/mol of atoms): 108

Unit cell a=4.221 b=4.221 c=2.888 alpha=90.00 beta=90.00 gamma=90.00
Element x y z (fractional)
Tc1 0.500 0.500 0.000
C1 0.000 0.000 0.000
Tc2 0.500 0.000 0.500
Tc3 0.000 0.500 0.500

=====

3.
DFT (PBE) results for an optimized crystal structure of TcC.

Calculated values
Crystal system: hexagonal
E above lowest polymorph (meV per atom): 353
ΔE_f (kJ/mol of atoms): 55

Unit cell a=3.115 b=3.115 c=5.767 alpha=90.00 beta=90.00 gamma=120.00
Element x y z (fractional)
Tc1 0.333 0.667 0.711
Tc2 0.667 0.333 0.211
C1 0.333 0.667 0.371
C2 0.667 0.333 0.871

=====

4.
DFT (PBE) results for an optimized crystal structure of TcC.

Calculated values
Crystal system: cubic
E above lowest polymorph (meV per atom): 337
ΔE_f (kJ/mol of atoms): 54

Unit cell a=3.277 b=3.277 c=3.277 alpha=60.00 beta=60.00 gamma=60.00
Element x y z (fractional)
C1 0.000 0.000 0.000
Tc1 0.750 0.750 0.750

=====

5.
DFT (PBE) results for an optimized crystal structure of TcC5.

Calculated values
Crystal system: cubic
E above lowest polymorph (meV per atom): 2183
ΔE_f (kJ/mol of atoms): 280

Unit cell a=4.103 b=4.103 c=4.103 alpha=60.00 beta=60.00 gamma=60.00
Element x y z (fractional)
C1 0.595 0.595 0.216
Tc1 0.000 0.000 0.000
C2 0.595 0.595 0.595
C3 0.595 0.216 0.595
C4 0.216 0.595 0.595
C5 0.250 0.250 0.250

=====

6.
DFT (PBE) results for an optimized crystal structure of TcC.

Calculated values
Crystal system: tetragonal
E above lowest polymorph (meV per atom): 343
ΔE_f (kJ/mol of atoms): 54

Unit cell a=5.460 b=5.460 c=3.433 alpha=90.00 beta=90.00 gamma=90.00
Element x y z (fractional)
Tc1 0.823 0.823 0.000
C1 0.310 0.310 0.500
C2 0.690 0.690 0.500
Tc2 0.177 0.177 0.000
Tc3 0.677 0.323 0.500
C3 0.190 0.810 0.000
Tc4 0.323 0.677 0.500
C4 0.810 0.190 0.000

=====

7.
DFT (PBE) results for an optimized crystal structure of Tc4C5.

Calculated values
Crystal system: hexagonal
E above lowest polymorph (meV per atom): 0
ΔE_f (kJ/mol of atoms): 95

Unit cell a=5.905 b=5.905 c=5.961 alpha=90.00 beta=90.00 gamma=120.00
Element x y z (fractional)
C1 0.333 0.667 0.500
C2 0.667 0.333 0.500
Tc1 0.000 0.600 0.750
C3 0.000 0.745 0.250
Tc2 0.600 0.000 0.750
C4 0.255 0.000 0.750
C5 0.745 0.000 0.250
C6 0.333 0.667 0.000
Tc3 0.400 0.400 0.750
Tc4 0.000 0.400 0.250
Tc5 0.400 0.000 0.250
C7 0.667 0.333 0.000
Tc6 0.000 0.000 0.000
Tc7 0.600 0.600 0.250
C8 0.745 0.745 0.750
C9 0.000 0.255 0.750
C10 0.255 0.255 0.250
Tc8 0.000 0.000 0.500

=====

8.
DFT (PBE) results for an optimized crystal structure of TcC5.

Calculated values
Crystal system: tetragonal
E above lowest polymorph (meV per atom): 1364
ΔE_f (kJ/mol of atoms): 201

Unit cell a=3.079 b=3.079 c=5.323 alpha=90.00 beta=90.00 gamma=90.00
Element x y z (fractional)
C1 0.000 0.000 0.500
Tc1 0.500 0.500 0.000
C2 0.500 0.500 0.622
C3 0.000 0.000 0.236
C4 0.500 0.500 0.378
C5 0.000 0.000 0.764